This record from Alexandria describes a relaxed LiTm2Au2 crystal. The functional is PBE.

a = 7.926 Å, b = 7.926 Å, c = 3.660 Å
α = 90.00°, β = 90.00°, γ = 90.00°
Space group P4/mbm (No. 127)
Unique sites:
Li  0.000  0.000  0.000 [2 per cell]
Tm  0.160  0.340  0.500 [4 per cell]
Au  0.139  0.639  0.000 [4 per cell]

Computed properties:
Excess energy over the best structure of this formula in the dataset in eV/f.u.: 0.00
Energy relative to the elements in eV/atom: -0.70
M_tot in μB/atom: 0.000
Energy in eV for the cell shown: -41.84

***

This record from Alexandria describes a relaxed Li2Tm3Au6 crystal. The functional is PBE.

a = 4.450 Å, b = 4.450 Å, c = 22.689 Å
α = 90.00°, β = 90.00°, γ = 90.00°
Space group I4/mmm (No. 139)
Unique sites:
Li  0.000  0.000  0.051 [4 per cell]
Tm  0.000  0.000  0.308 [4 per cell]
Tm  0.000  0.000  0.500 [2 per cell]
Au  0.000  0.000  0.184 [4 per cell]
Au  0.000  0.500  0.096 [8 per cell]

Computed properties:
Energy relative to the elements in eV/atom: -0.60
M_tot in μB/atom: 0.000
Energy in eV for the cell shown: -87.08

***

This record from Alexandria describes a relaxed LiTm3Au2 crystal. The functional is PBE.

a = 5.0066 Å, b = 5.0066 Å, c = 12.4920 Å
α = 90.00°, β = 90.00°, γ = 120.00°
Space group P-3m1 (No. 164)
Unique sites:
Li  0.3333  0.6667  0.1740 [2 per cell]
Tm  0.0000  0.0000  0.2566 [2 per cell]
Tm  0.3333  0.6667  0.4222 [2 per cell]
Tm  0.3333  0.6667  0.9205 [2 per cell]
Au  0.0000  0.0000  0.0000 [1 per cell]
Au  0.0000  0.0000  0.5000 [1 per cell]
Au  0.3333  0.6667  0.6898 [2 per cell]

Computed properties:
Energy relative to the elements in eV/atom: -0.60
M_tot in μB/atom: 0.000
Energy in eV for the cell shown: -51.00

***

This record from Alexandria describes a relaxed LiTmAu4 crystal. The functional is PBE.

a = 5.530 Å, b = 6.416 Å, c = 7.176 Å
α = 90.00°, β = 90.00°, γ = 90.00°
Space group Cmmm (No. 65)
Unique sites:
Li  0.000  0.000  0.000 [2 per cell]
Tm  0.000  0.500  0.500 [2 per cell]
Au  0.250  0.250  0.220 [8 per cell]

Computed properties:
Excess energy over the best structure of this formula in the dataset in eV/f.u.: 0.88
Energy relative to the elements in eV/atom: -0.47
M_tot in μB/atom: 0.000
Energy in eV for the cell shown: -44.68

***

This record from Alexandria describes a relaxed Li2TmAu4 crystal. The functional is PBE.

a = 4.323 Å, b = 4.323 Å, c = 14.575 Å
α = 90.00°, β = 90.00°, γ = 90.00°
Space group I4/mmm (No. 139)
Unique sites:
Li  0.000  0.000  0.245 [4 per cell]
Tm  0.000  0.000  0.500 [2 per cell]
Au  0.000  0.500  0.136 [8 per cell]

Computed properties:
Energy relative to the elements in eV/atom: -0.54
M_tot in μB/atom: 0.000
Energy in eV for the cell shown: -50.39

***

This record from Alexandria describes a relaxed LiTmAu4 crystal. The functional is PBE.

a = 9.567 Å, b = 3.686 Å, c = 6.839 Å
α = 90.00°, β = 109.84°, γ = 90.00°
Space group C2/m (No. 12)
Unique sites:
Li  0.000  0.000  0.000 [2 per cell]
Tm  0.000  0.000  0.500 [2 per cell]
Au  0.155  0.500  0.847 [4 per cell]
Au  0.164  0.500  0.310 [4 per cell]

Computed properties:
Excess energy over the best structure of this formula in the dataset in eV/f.u.: 0.00
Energy relative to the elements in eV/atom: -0.62
M_tot in μB/atom: 0.000
Energy in eV for the cell shown: -46.45

***

This record from Alexandria describes a relaxed LiTm2Au4 crystal. The functional is PBE.

a = 4.775 Å, b = 4.775 Å, c = 6.750 Å
α = 90.00°, β = 90.00°, γ = 90.00°
Space group P4/mmm (No. 123)
Unique sites:
Li  0.000  0.000  0.000 [1 per cell]
Tm  0.000  0.000  0.500 [1 per cell]
Tm  0.500  0.500  0.000 [1 per cell]
Au  0.000  0.500  0.249 [4 per cell]

Computed properties:
Energy relative to the elements in eV/atom: -0.65
M_tot in μB/atom: 0.000
Energy in eV for the cell shown: -28.48

***

This record from Alexandria describes a relaxed LiTm4Au3 crystal. The functional is PBE.

a = 15.080 Å, b = 5.041 Å, c = 5.041 Å
α = 90.00°, β = 109.43°, γ = 90.00°
Space group C2/m (No. 12)
Unique sites:
Li  0.000  0.000  0.000 [2 per cell]
Tm  0.126  0.000  0.626 [4 per cell]
Tm  0.126  0.500  0.126 [4 per cell]
Au  0.000  0.500  0.500 [2 per cell]
Au  0.231  0.000  0.231 [4 per cell]

Computed properties:
Energy relative to the elements in eV/atom: -0.69
M_tot in μB/atom: 0.000
Energy in eV for the cell shown: -70.31